Density functional theory data (PBE-GGA) for a geometry-optimized CrAgW2 structure.

Calculated values
Formation energy ... 2.5 eV/f.u.
Polymorph energy (0 for the lowest one) ... 0.2290 eV per atom

Cell: 5.0255 5.0255 2.6625 Å, 90.00 90.00 113.85°
Closest atoms and distances in Å follow each position.
Atoms (fractional coordinates):
Cr1 0.0000 0.0000 0.0000  2 Cr 2.66, 2 Ag 2.74, 8 W 2.84
Ag1 0.5000 0.5000 0.0000  2 Ag 2.66, 2 Cr 2.74, 8 W 2.84
W1 0.0000 0.5000 0.5000  4 W 2.66-2.74, 4 Cr 2.84, 4 Ag 2.84
W2 0.5000 0.0000 0.5000  4 W 2.66-2.74, 4 Cr 2.84, 4 Ag 2.84



Density functional theory data (PBE-GGA) for a geometry-optimized SmPaIn2O8 structure.

Calculated values
Raw formation energy ... -2.1205 eV per atom

Cell: 6.2210 6.2210 6.2210 Å, 110.94 110.94 106.58°
Closest atoms and distances in Å follow each position.
Atoms (fractional coordinates):
Sm1 0.0000 0.0000 0.0000  8 O 2.31-2.56
Pa1 0.7500 0.2500 0.5000  8 O 2.18-2.42
In1 0.2500 0.7500 0.5000  4 O 2.05
In2 0.5000 0.5000 0.0000  4 O 2.07
O1 0.0302 0.3560 0.3258  1 In 2.05
O2 0.0302 0.7044 0.6742  1 In 2.05
O3 0.0980 0.2914 0.8066  1 In 2.07, 1 Pa 2.18
O4 0.2956 0.9698 0.3258  1 In 2.05
O5 0.4848 0.2914 0.1934  1 In 2.07, 1 Pa 2.18
O6 0.6440 0.9698 0.6742  1 In 2.05
O7 0.7086 0.5152 0.8066  1 In 2.07, 1 Pa 2.18
O8 0.7086 0.9020 0.1934  1 In 2.07, 1 Pa 2.18



Density functional theory data (PBE-GGA) for a geometry-optimized BaScRu3 structure.

Calculated values
Formation energy ... 5.3 eV/f.u.
Polymorph energy (0 for the lowest one) ... 0.0000 eV per atom

Cell: 4.8966 4.8966 4.8966 Å, 90.00 90.00 90.00°
Closest atoms and distances in Å follow each position.
Atoms (fractional coordinates):
Ba1 0.0000 0.0000 0.0000  12 Ru 3.46
Sc1 0.5000 0.5000 0.5000  6 Ru 2.45
Ru1 0.0000 0.5000 0.5000  2 Sc 2.45
Ru2 0.5000 0.0000 0.5000  2 Sc 2.45
Ru3 0.5000 0.5000 0.0000  2 Sc 2.45



Density functional theory data (PBE-GGA) for a geometry-optimized CaLa2Pd9 structure.

Calculated values
Formation energy ... -8.0 eV/f.u.
Polymorph energy (0 for the lowest one) ... 0.0349 eV per atom

Cell: 9.6406 9.6406 9.6406 Å, 32.75 32.75 32.75°
Closest atoms and distances in Å follow each position.
Atoms (fractional coordinates):
Ca1 0.0000 0.0000 0.0000  6 Pd 3.14
La1 0.1364 0.1364 0.1364  9 Pd 3.07-3.25
La2 0.8636 0.8636 0.8636  9 Pd 3.07-3.25
Pd1 0.0817 0.5852 0.5852  7 Pd 2.70-2.79
Pd2 0.3331 0.3331 0.3331  6 Pd 2.77-2.79
Pd3 0.4148 0.4148 0.9183  7 Pd 2.70-2.79
Pd4 0.4148 0.9183 0.4148  7 Pd 2.70-2.79
Pd5 0.5000 0.5000 0.5000  6 Pd 2.76
Pd6 0.5852 0.0817 0.5852  7 Pd 2.70-2.79
Pd7 0.5852 0.5852 0.0817  7 Pd 2.70-2.79
Pd8 0.6669 0.6669 0.6669  6 Pd 2.77-2.79
Pd9 0.9183 0.4148 0.4148  7 Pd 2.70-2.79



Density functional theory data (PBE-GGA) for a geometry-optimized Na2NpS2Cl2 structure.

Calculated values
Raw formation energy ... -1.4261 eV per atom

Cell: 8.0249 8.0249 8.0249 Å, 141.89 141.89 54.99°
Closest atoms and distances in Å follow each position.
Atoms (fractional coordinates):
Na1 0.1229 0.1229 0.0000  1 Cl 2.71
Na2 0.8771 0.8771 0.0000  1 Cl 2.71
Np1 0.5000 0.5000 0.0000  4 S 2.62, 2 Cl 2.66
S1 0.0000 0.5000 0.5000  2 Np 2.62
S2 0.5000 0.0000 0.5000  2 Np 2.62
Cl1 0.3130 0.3130 0.0000  1 Np 2.66, 1 Na 2.71
Cl2 0.6870 0.6870 0.0000  1 Np 2.66, 1 Na 2.71



Density functional theory data (PBE-GGA) for a geometry-optimized HfP2SeS structure.

Calculated values
Polymorph energy (0 for the lowest one) ... 0.0000 eV per atom
Raw formation energy ... 0.3537 eV per atom

Cell: 5.1012 5.1012 4.7236 Å, 90.00 90.00 90.00°
Closest atoms and distances in Å follow each position.
Atoms (fractional coordinates):
Hf1 0.0000 0.0000 0.0000  2 S 2.36, 4 P 2.55
P1 0.0000 0.5000 0.0000  2 Hf 2.55
P2 0.5000 0.0000 0.0000  2 Hf 2.55
Se1 0.5000 0.5000 0.5000  8 P 3.48, 4 S 3.61
S1 0.0000 0.0000 0.5000  2 Hf 2.36



Density functional theory data (PBE-GGA) for a geometry-optimized Pa2GaCl11 structure.

Calculated values
Raw formation energy ... -1.6575 eV per atom

Cell: 11.1691 11.1691 11.1691 Å, 115.20 110.52 102.93°
Closest atoms and distances in Å follow each position.
Atoms (fractional coordinates):
Pa1 0.1434 0.1741 0.3175  6 Cl 2.48-2.77
Pa2 0.3566 0.6741 0.0307  6 Cl 2.48-2.77
Pa3 0.6434 0.3259 0.9693  6 Cl 2.48-2.77
Pa4 0.8566 0.8259 0.6825  6 Cl 2.48-2.77
Ga1 0.2500 0.7500 0.5000  4 Cl 3.14
Ga2 0.7500 0.2500 0.5000  4 Cl 3.14
Cl1 0.0000 0.0000 0.0000  2 Pa 2.77
Cl2 0.0874 0.8435 0.6766  1 Pa 2.57
Cl3 0.1087 0.9407 0.3134  1 Pa 2.53
Cl4 0.1273 0.4407 0.8320  1 Pa 2.53
Cl5 0.1668 0.4108 0.3234  1 Pa 2.57
Cl6 0.2167 0.8179 0.0346  1 Pa 2.48
Cl7 0.2833 0.3179 0.6013  1 Pa 2.48
Cl8 0.3332 0.6565 0.2439  1 Pa 2.57
Cl9 0.3727 0.2047 0.3134  1 Pa 2.53
Cl10 0.3913 0.7047 0.8320  1 Pa 2.53
Cl11 0.4126 0.0892 0.7561  1 Pa 2.57
Cl12 0.5000 0.5000 0.0000  2 Pa 2.77
Cl13 0.5874 0.9108 0.2439  1 Pa 2.57
Cl14 0.6087 0.2953 0.1680  1 Pa 2.53
Cl15 0.6273 0.7953 0.6866  1 Pa 2.53
Cl16 0.6668 0.3435 0.7561  1 Pa 2.57
Cl17 0.7167 0.6821 0.3987  1 Pa 2.48
Cl18 0.7833 0.1821 0.9654  1 Pa 2.48
Cl19 0.8332 0.5892 0.6766  1 Pa 2.57
Cl20 0.8727 0.5593 0.1680  1 Pa 2.53
Cl21 0.8913 0.0593 0.6866  1 Pa 2.53
Cl22 0.9126 0.1565 0.3234  1 Pa 2.57



Density functional theory data (PBE-GGA) for a geometry-optimized Ho2Er6Tm3Mg structure.

Calculated values
Formation energy ... 0.4 eV/f.u.

Cell: 6.0399 6.0399 11.5403 Å, 95.04 95.04 120.01°
Closest atoms and distances in Å follow each position.
Atoms (fractional coordinates):
Ho1 0.1663 0.8337 0.0000  6 Er 3.48, 3 Ho 3.48-3.49, 3 Mg 3.48-3.49
Ho2 0.8337 0.1663 0.0000  6 Er 3.48, 3 Ho 3.48-3.49, 3 Mg 3.48-3.49
Er1 0.0843 0.4175 0.7504  1 Mg 3.47, 2 Ho 3.48, 6 Er 3.48-3.49, 3 Tm 3.48-3.49
Er2 0.2490 0.2490 0.2504  3 Tm 3.47-3.48, 2 Ho 3.48, 6 Er 3.48-3.49, 1 Mg 3.49
Er3 0.4175 0.0843 0.7504  1 Mg 3.47, 2 Ho 3.48, 6 Er 3.48-3.49, 3 Tm 3.48-3.49
Er4 0.5825 0.9157 0.2496  1 Mg 3.47, 2 Ho 3.48, 6 Er 3.48-3.49, 3 Tm 3.48-3.49
Er5 0.7510 0.7510 0.7496  3 Tm 3.47-3.48, 2 Ho 3.48, 6 Er 3.48-3.49, 1 Mg 3.49
Er6 0.9157 0.5825 0.2496  1 Mg 3.47, 2 Ho 3.48, 6 Er 3.48-3.49, 3 Tm 3.48-3.49
Tm1 0.0000 0.0000 0.5000  6 Er 3.48, 6 Tm 3.48-3.50
Tm2 0.3341 0.6659 0.5000  6 Tm 3.47-3.50, 6 Er 3.47-3.49
Tm3 0.6659 0.3341 0.5000  6 Tm 3.47-3.50, 6 Er 3.47-3.49
Mg1 0.5000 0.5000 0.0000  6 Er 3.47-3.49, 6 Ho 3.48-3.49



Density functional theory data (PBE-GGA) for a geometry-optimized YMnRe2 structure.

Calculated values
Formation energy ... 2.1 eV/f.u.
Polymorph energy (0 for the lowest one) ... 0.3324 eV per atom

Cell: 9.3900 9.3900 9.3900 Å, 17.65 17.65 17.65°
Closest atoms and distances in Å follow each position.
Atoms (fractional coordinates):
Y1 0.0000 0.0000 0.0000  6 Y 2.88, 6 Re 3.13
Mn1 0.5000 0.5000 0.5000  6 Re 2.58, 6 Mn 2.88
Re1 0.2377 0.2377 0.2377  3 Mn 2.58, 6 Re 2.88
Re2 0.7623 0.7623 0.7623  3 Mn 2.58, 6 Re 2.88



Density functional theory data (PBE-GGA) for a geometry-optimized Mg6GaPd3 structure.

Calculated values
Formation energy ... -4.8 eV/f.u.

Cell: 7.4813 7.4813 6.5633 Å, 90.00 90.00 88.01°
Closest atoms and distances in Å follow each position.
Atoms (fractional coordinates):
Mg1 0.0121 0.5033 0.7386  3 Pd 2.84-2.86, 1 Ga 3.04, 2 Mg 3.09-3.15
Mg2 0.1445 0.8555 0.5000  5 Pd 2.69-2.75, 1 Ga 2.72
Mg3 0.1583 0.8417 0.9937  5 Pd 2.77-2.81, 1 Ga 2.81
Mg4 0.3260 0.3496 0.9973  4 Pd 2.67-2.80, 2 Ga 2.76-2.82
Mg5 0.3496 0.3260 0.4973  4 Pd 2.67-2.80, 2 Ga 2.76-2.82
Mg6 0.4967 0.9879 0.7386  3 Pd 2.84-2.86, 1 Ga 3.04, 2 Mg 3.09-3.15
Mg7 0.5033 0.0121 0.2386  3 Pd 2.84-2.86, 1 Ga 3.04, 2 Mg 3.09-3.15
Mg8 0.6504 0.6740 0.9973  4 Pd 2.67-2.80, 2 Ga 2.76-2.82
Mg9 0.6740 0.6504 0.4973  4 Pd 2.67-2.80, 2 Ga 2.76-2.82
Mg10 0.8417 0.1583 0.4937  5 Pd 2.77-2.81, 1 Ga 2.81
Mg11 0.8555 0.1445 0.0000  5 Pd 2.69-2.75, 1 Ga 2.72
Mg12 0.9879 0.4967 0.2386  3 Pd 2.84-2.86, 1 Ga 3.04, 2 Mg 3.09-3.15
Ga1 0.3635 0.6365 0.2718  8 Mg 2.72-3.04, 2 Pd 2.81-2.96
Ga2 0.6365 0.3635 0.7718  8 Mg 2.72-3.04, 2 Pd 2.81-2.96
Pd1 0.1423 0.1437 0.2474  8 Mg 2.67-2.85
Pd2 0.1437 0.1423 0.7474  8 Mg 2.67-2.85
Pd3 0.3681 0.6319 0.7226  8 Mg 2.73-2.86, 2 Ga 2.81-2.96
Pd4 0.6319 0.3681 0.2226  8 Mg 2.73-2.86, 2 Ga 2.81-2.96
Pd5 0.8563 0.8577 0.2474  8 Mg 2.67-2.85
Pd6 0.8577 0.8563 0.7474  8 Mg 2.67-2.85



Density functional theory data (PBE-GGA) for a geometry-optimized Mn2IrRu structure.

Calculated values
Formation energy ... -0.1 eV/f.u.

Cell: 4.5911 4.5911 4.5911 Å, 132.70 132.70 69.13°
Closest atoms and distances in Å follow each position.
Atoms (fractional coordinates):
Mn1 0.0000 0.0000 0.0000  4 Ir 2.60, 4 Mn 2.64, 4 Ru 2.64
Mn2 0.7500 0.2500 0.5000  4 Ru 2.60, 4 Mn 2.64, 4 Ir 2.64
Ir1 0.5000 0.5000 0.0000  8 Mn 2.60-2.64, 4 Ru 2.64
Ru1 0.2500 0.7500 0.5000  8 Mn 2.60-2.64, 4 Ir 2.64



Density functional theory data (PBE-GGA) for a geometry-optimized MnTl4I7 structure.

Calculated values
Raw formation energy ... -0.5106 eV per atom

Cell: 9.0738 9.0738 11.5624 Å, 105.28 105.28 36.39°
Closest atoms and distances in Å follow each position.
Atoms (fractional coordinates):
Mn1 0.0000 0.0000 0.0000  6 I 2.71-2.83
Tl1 0.2524 0.2524 0.6895  6 I 3.46-3.64
Tl2 0.4787 0.4787 0.2866  5 I 3.43-3.59
Tl3 0.5213 0.5213 0.7134  5 I 3.43-3.59
Tl4 0.7476 0.7476 0.3105  6 I 3.46-3.64
I1 0.1115 0.1115 0.2183  1 Mn 2.71
I2 0.1225 0.1225 0.8799  1 Mn 2.83
I3 0.3467 0.3467 0.4616  5 Tl 3.44-3.56
I4 0.5000 0.5000 0.0000  2 Mn 2.83
I5 0.6533 0.6533 0.5384  5 Tl 3.44-3.56
I6 0.8775 0.8775 0.1201  1 Mn 2.83
I7 0.8885 0.8885 0.7817  1 Mn 2.71